Density functional theory data (PBE-GGA) for a relaxed InNi22B6 crystal.

abc: 7.436 7.436 7.436
angles: 60.00 60.00 60.00
Atoms (fractional coordinates):
Ni (0.336, 0.661, 0.001)
Ni (0.611, 0.168, 0.611)
Ni (0.001, 0.001, 0.336)
Ni (0.001, 0.661, 0.001)
Ni (0.336, 0.001, 0.661)
Ni (0.661, 0.001, 0.001)
Ni (0.863, 0.379, 0.379)
Ni (0.611, 0.611, 0.168)
Ni (0.000, 0.000, 0.000)
Ni (0.661, 0.001, 0.336)
Ni (0.250, 0.250, 0.250)
Ni (0.001, 0.336, 0.001)
Ni (0.336, 0.001, 0.001)
Ni (0.379, 0.863, 0.379)
Ni (0.611, 0.611, 0.611)
Ni (0.661, 0.336, 0.001)
Ni (0.379, 0.379, 0.863)
Ni (0.001, 0.001, 0.661)
Ni (0.001, 0.336, 0.661)
Ni (0.001, 0.661, 0.336)
Ni (0.379, 0.379, 0.379)
Ni (0.168, 0.611, 0.611)
B (0.728, 0.272, 0.728)
B (0.272, 0.728, 0.272)
B (0.728, 0.272, 0.272)
B (0.272, 0.728, 0.728)
B (0.728, 0.728, 0.272)
B (0.272, 0.272, 0.728)
In (0.750, 0.750, 0.750)

Output
* space-group type: No. 216
* formation enthalpy at 0 K: -6.7 eV per formula unit
* ΔE to the lowest computed polymorph: 0.00 eV per formula unit
* crystal system: cubic
* final energy: -6.092 eV per atom